This record from Alexandria via LeMat-Bulk describes AcGaHg2 after structural relaxation. The functional is PBE-GGA.

Cell lengths 4.6874, 4.6874, 5.0815 Å; angles 90.00, 90.00, 90.00 degrees
Last column: nearest neighbours and their distance in Å.
Fractional positions:
Ac 0.0000 0.0000 0.0000  4 Ga 3.31, 8 Hg 3.46
Ga 0.5000 0.5000 0.0000  4 Ac 3.31, 8 Hg 3.46
Hg 0.0000 0.5000 0.5000  4 Hg 3.31, 4 Ac 3.46, 4 Ga 3.46
Hg 0.5000 0.0000 0.5000  4 Hg 3.31, 4 Ac 3.46, 4 Ga 3.46

Calculated formation energy in eV/atom: -0.3114



This record from Alexandria via LeMat-Bulk describes Ac8Ga2Hg after structural relaxation. The functional is PBE-GGA.

Cell lengths 10.4405, 10.4405, 7.6936 Å; angles 102.23, 102.23, 30.51 degrees
Last column: nearest neighbours and their distance in Å.
Fractional positions:
Ac 0.0301 0.0301 0.2633  1 Ga 3.31, 2 Hg 3.42
Ac 0.2034 0.2034 0.8228  3 Ga 3.23-3.56
Ac 0.3338 0.3338 0.5334  3 Ga 3.26-3.37, 1 Hg 3.41
Ac 0.4091 0.4091 0.0445  1 Hg 3.58, 2 Ga 3.79, 8 Ac 3.81-3.99
Ac 0.5909 0.5909 0.9555  1 Hg 3.58, 2 Ga 3.79, 8 Ac 3.81-3.99
Ac 0.6662 0.6662 0.4666  3 Ga 3.26-3.37, 1 Hg 3.41
Ac 0.7966 0.7966 0.1772  3 Ga 3.23-3.56
Ac 0.9699 0.9699 0.7367  1 Ga 3.31, 2 Hg 3.42
Ga 0.1914 0.1914 0.2345  7 Ac 3.23-3.56
Ga 0.8086 0.8086 0.7655  7 Ac 3.23-3.56
Hg 0.5000 0.5000 0.5000  8 Ac 3.41-3.58

Calculated formation energy in eV/atom: -0.2084



This record from Alexandria via LeMat-Bulk describes Ac4Ga2Hg after structural relaxation. The functional is PBE-GGA.

Cell lengths 9.4846, 9.4846, 9.4846 Å; angles 34.19, 34.19, 34.19 degrees
Last column: nearest neighbours and their distance in Å.
Fractional positions:
Ac 0.1198 0.1198 0.1198  4 Ga 3.36-3.45, 3 Hg 3.46
Ac 0.3715 0.3715 0.3715  4 Ga 3.28-3.45, 1 Hg 3.44
Ac 0.6285 0.6285 0.6285  4 Ga 3.28-3.45, 1 Hg 3.44
Ac 0.8802 0.8802 0.8802  4 Ga 3.36-3.45, 3 Hg 3.46
Ga 0.2488 0.2488 0.2488  8 Ac 3.28-3.45
Ga 0.7512 0.7512 0.7512  8 Ac 3.28-3.45
Hg 0.5000 0.5000 0.5000  8 Ac 3.44-3.46

Calculated formation energy in eV/atom: -0.3531



This record from Alexandria via LeMat-Bulk describes Ac2Ga3Hg5 after structural relaxation. The functional is PBE-GGA.

Cell lengths 9.3909, 9.3909, 9.3909 Å; angles 106.13, 88.55, 138.38 degrees
Last column: nearest neighbours and their distance in Å.
Fractional positions:
Ac 0.1275 0.2491 0.3766  10 Hg 3.50-3.71, 6 Ga 3.58-3.69
Ac 0.3725 0.7491 0.1217  10 Hg 3.50-3.71, 6 Ga 3.58-3.69
Ac 0.6275 0.2509 0.8783  10 Hg 3.50-3.71, 6 Ga 3.58-3.69
Ac 0.8725 0.7509 0.6234  10 Hg 3.50-3.71, 6 Ga 3.58-3.69
Ga 0.1246 0.6328 0.7574  5 Hg 2.61-2.80
Ga 0.2500 0.2500 0.0000  4 Hg 2.74
Ga 0.3754 0.1328 0.5082  5 Hg 2.61-2.80
Ga 0.6246 0.8672 0.4918  5 Hg 2.61-2.80
Ga 0.7500 0.7500 0.0000  4 Hg 2.74
Ga 0.8754 0.3672 0.2426  5 Hg 2.61-2.80
Hg 0.0047 0.7500 0.2547  2 Ga 2.77, 2 Hg 2.94
Hg 0.1148 0.8641 0.9789  3 Ga 2.61-2.74
Hg 0.2500 0.7500 0.5000  4 Ga 2.80
Hg 0.3852 0.3641 0.7494  3 Ga 2.61-2.74
Hg 0.4953 0.7500 0.7453  2 Ga 2.77, 2 Hg 2.94
Hg 0.5047 0.2500 0.2547  2 Ga 2.77, 2 Hg 2.94
Hg 0.6148 0.6359 0.2506  3 Ga 2.61-2.74
Hg 0.7500 0.2500 0.5000  4 Ga 2.80
Hg 0.8852 0.1359 0.0211  3 Ga 2.61-2.74
Hg 0.9953 0.2500 0.7453  2 Ga 2.77, 2 Hg 2.94

Calculated formation energy in eV/atom: -0.3640



Q: Look up the calculated formation energy of the third one.
A: -0.3531 eV/atom



Q: Which formula does entry 3 have?
A: Ac4Ga2Hg



Q: Which formula does entry 1 have?
A: AcGaHg2



Q: Look up the calculated formation energy of the first one.
A: -0.3114 eV/atom